Entry 1:
First-principles (PBE) data for crystalline MnPb2Br at its relaxed geometry, as listed in the Alexandria database.

Computed properties:
Total DFT energy (no corrections), eV per atom: -4.53

Lattice parameters (Å, degrees): 3.599 6.154 10.248 90.00 90.00 90.00
Space group Cmm2 (No. 35)
One atom of each set of equivalent atoms:
Mn 0.000 0.000 0.000 [2 per cell]
Pb 0.000 0.000 0.501 [2 per cell]
Pb 0.000 0.500 0.776 [2 per cell]
Br 0.000 0.500 0.175 [2 per cell]



Entry 2:
First-principles (PBE) data for crystalline LaScAs2 at its relaxed geometry, as listed in the Alexandria database.

Computed properties:
Total DFT energy (no corrections), eV per atom: -6.46

Lattice parameters (Å, degrees): 4.179 4.179 5.862 90.00 90.00 90.00
Space group P4/mmm (No. 123)
One atom of each set of equivalent atoms:
La 0.000 0.000 0.000 [1 per cell]
Sc 0.500 0.500 0.500 [1 per cell]
As 0.000 0.000 0.500 [1 per cell]
As 0.500 0.500 0.000 [1 per cell]



Entry 3:
First-principles (PBE) data for crystalline BePC2 at its relaxed geometry, as listed in the Alexandria database.

Computed properties:
Total DFT energy (no corrections), eV per atom: -4.86

Lattice parameters (Å, degrees): 5.080 5.080 5.080 90.00 90.00 90.00
Space group Fm-3m (No. 225)
One atom of each set of equivalent atoms:
Be 0.000 0.000 0.000 [4 per cell]
P 0.000 0.000 0.500 [4 per cell]
C 0.250 0.250 0.250 [8 per cell]



Entry 4:
First-principles (PBE) data for crystalline Sm4Zn2Ru at its relaxed geometry, as listed in the Alexandria database.

Computed properties:
Total DFT energy (no corrections), eV per atom: -4.55

Lattice parameters (Å, degrees): 4.994 4.994 7.242 90.00 90.00 90.00
Space group P4/mmm (No. 123)
One atom of each set of equivalent atoms:
Sm 0.000 0.500 0.243 [4 per cell]
Zn 0.000 0.000 0.000 [1 per cell]
Zn 0.500 0.500 0.500 [1 per cell]
Ru 0.500 0.500 0.000 [1 per cell]



Entry 5:
First-principles (PBE) data for crystalline LaScZn at its relaxed geometry, as listed in the Alexandria database.

Computed properties:
Total DFT energy (no corrections), eV per atom: -4.38

Lattice parameters (Å, degrees): 6.458 5.181 9.166 90.00 90.00 90.00
Space group Pnma (No. 62)
One atom of each set of equivalent atoms:
La 0.187 0.250 0.080 [4 per cell]
Sc 0.006 0.250 0.704 [4 per cell]
Zn 0.194 0.250 0.409 [4 per cell]



Entry 6:
First-principles (PBE) data for crystalline TcGeSeS2 at its relaxed geometry, as listed in the Alexandria database.

Computed properties:
Total DFT energy (no corrections), eV per atom: -4.46

Lattice parameters (Å, degrees): 4.630 4.630 5.126 90.00 90.00 90.00
Space group P4/mmm (No. 123)
One atom of each set of equivalent atoms:
Tc 0.000 0.000 0.000 [1 per cell]
Ge 0.500 0.500 0.500 [1 per cell]
Se 0.500 0.500 0.000 [1 per cell]
S 0.000 0.500 0.500 [2 per cell]



Entry 7:
First-principles (PBE) data for crystalline TcAs2Se at its relaxed geometry, as listed in the Alexandria database.

Computed properties:
Total DFT energy (no corrections), eV per atom: -5.54

Lattice parameters (Å, degrees): 9.174 3.217 4.928 90.00 102.76 90.00
Space group C2/m (No. 12)
One atom of each set of equivalent atoms:
Tc 0.000 0.000 0.000 [2 per cell]
As 0.219 0.500 0.212 [4 per cell]
Se 0.000 0.500 0.500 [2 per cell]



Entry 8:
First-principles (PBE) data for crystalline Hg2GeWS at its relaxed geometry, as listed in the Alexandria database.

Computed properties:
Total DFT energy (no corrections), eV per atom: -2.95

Lattice parameters (Å, degrees): 4.961 4.961 5.117 90.00 90.00 90.00
Space group P4/mmm (No. 123)
One atom of each set of equivalent atoms:
Hg 0.000 0.500 0.000 [2 per cell]
Ge 0.000 0.000 0.500 [1 per cell]
W 0.500 0.500 0.500 [1 per cell]
S 0.000 0.000 0.000 [1 per cell]



Entry 9:
First-principles (PBE) data for crystalline Ba2PbCl at its relaxed geometry, as listed in the Alexandria database.

Computed properties:
Total DFT energy (no corrections), eV per atom: -3.52

Lattice parameters (Å, degrees): 4.486 5.358 6.964 90.00 90.00 90.00
Space group Pmmm (No. 47)
One atom of each set of equivalent atoms:
Ba 0.000 0.000 0.000 [1 per cell]
Ba 0.500 0.500 0.500 [1 per cell]
Pb 0.000 0.000 0.500 [1 per cell]
Cl 0.500 0.500 0.000 [1 per cell]



Entry 10:
First-principles (PBE) data for crystalline KGaSb2 at its relaxed geometry, as listed in the Alexandria database.

Computed properties:
Total DFT energy (no corrections), eV per atom: -3.19

Lattice parameters (Å, degrees): 5.694 5.694 18.604 90.00 90.00 90.00
Space group I-42d (No. 122)
One atom of each set of equivalent atoms:
K 0.000 0.000 0.000 [4 per cell]
Ga 0.000 0.000 0.500 [4 per cell]
Sb 0.107 0.250 0.625 [8 per cell]



Entry 11:
First-principles (PBE) data for crystalline ZrFeRu2 at its relaxed geometry, as listed in the Alexandria database.

Computed properties:
Total DFT energy (no corrections), eV per atom: -8.87

Lattice parameters (Å, degrees): 6.281 6.281 6.281 90.00 90.00 90.00
Space group F-43m (No. 216)
One atom of each set of equivalent atoms:
Zr 0.000 0.000 0.000 [4 per cell]
Fe 0.250 0.250 0.750 [4 per cell]
Ru 0.000 0.000 0.500 [4 per cell]
Ru 0.250 0.250 0.250 [4 per cell]